P | Entry from Alexandria via LeMat-Bulk: an optimized crystal structure of TeS2Br (PBE-GGA).

CIF file:
```
data_TeS2Br
_chemical_formula_sum 'Te3 S6 Br3'
_symmetry_space_group_name_H-M 'P 1'
_symmetry_Int_Tables_number 1
_symmetry_space_group_name_Hall 'P 1'
_cell_length_a 3.9448
_cell_length_b 3.9448
_cell_length_c 24.8422
_cell_angle_alpha 90.00
_cell_angle_beta 90.00
_cell_angle_gamma 120.00
loop_
_atom_site_label
_atom_site_type_symbol
_atom_site_fract_x
_atom_site_fract_y
_atom_site_fract_z
Te1 Te 0.0000 0.0000 0.0000
Te2 Te 0.3333 0.6667 0.6667
Te3 Te 0.6667 0.3333 0.3333
S1 S 0.0000 0.0000 0.3976
S2 S 0.0000 0.0000 0.6024
S3 S 0.3333 0.6667 0.0642
S4 S 0.3333 0.6667 0.2691
S5 S 0.6667 0.3333 0.7309
S6 S 0.6667 0.3333 0.9358
Br1 Br 0.0000 0.0000 0.5000
Br2 Br 0.3333 0.6667 0.1667
Br3 Br 0.6667 0.3333 0.8333
```

Summary:
The calculated volume comes out at 27.90 A^3/atom.

Q | Entry from Alexandria via LeMat-Bulk: an optimized crystal structure of TeS2Br (PBE-GGA).

CIF file:
```
data_TeS2Br
_chemical_formula_sum 'Te4 S8 Br4'
_symmetry_space_group_name_H-M 'P 1'
_symmetry_Int_Tables_number 1
_symmetry_space_group_name_Hall 'P 1'
_cell_length_a 6.8174
_cell_length_b 5.0855
_cell_length_c 14.5408
_cell_angle_alpha 90.00
_cell_angle_beta 108.85
_cell_angle_gamma 90.00
loop_
_atom_site_label
_atom_site_type_symbol
_atom_site_fract_x
_atom_site_fract_y
_atom_site_fract_z
Te1 Te 0.2219 0.0100 0.4275
Te2 Te 0.2219 0.4900 0.9275
Te3 Te 0.7781 0.5100 0.0725
Te4 Te 0.7781 0.9900 0.5725
S1 S 0.0816 0.6436 0.5460
S2 S 0.0816 0.8564 0.0460
S3 S 0.4331 0.2205 0.5712
S4 S 0.4331 0.2795 0.0712
S5 S 0.5669 0.7205 0.9288
S6 S 0.5669 0.7795 0.4288
S7 S 0.9184 0.1436 0.9540
S8 S 0.9184 0.3564 0.4540
Br1 Br 0.2444 0.1329 0.7906
Br2 Br 0.2444 0.3671 0.2906
Br3 Br 0.7556 0.6329 0.7094
Br4 Br 0.7556 0.8671 0.2094
```

Summary:
The calculated volume comes out at 29.82 A^3/atom.

In meV/atom, relative to the most stable structure: P 218; Q 0.

P | Entry from Alexandria via LeMat-Bulk: an optimized crystal structure of TeSBr3 (PBE-GGA).

CIF file:
```
data_TeSBr3
_chemical_formula_sum 'Te1 S1 Br3'
_symmetry_space_group_name_H-M 'P 1'
_symmetry_Int_Tables_number 1
_symmetry_space_group_name_Hall 'P 1'
_cell_length_a 5.6073
_cell_length_b 5.6073
_cell_length_c 5.6073
_cell_angle_alpha 90.00
_cell_angle_beta 90.00
_cell_angle_gamma 90.00
loop_
_atom_site_label
_atom_site_type_symbol
_atom_site_fract_x
_atom_site_fract_y
_atom_site_fract_z
Te1 Te 0.0000 0.0000 0.0000
S1 S 0.5000 0.5000 0.5000
Br1 Br 0.0000 0.0000 0.5000
Br2 Br 0.0000 0.5000 0.0000
Br3 Br 0.5000 0.0000 0.0000
```

Summary:
The calculated volume comes out at 35.26 A^3/atom.

Q | Entry from Alexandria via LeMat-Bulk: an optimized crystal structure of TeSBr3 (PBE-GGA).

CIF file:
```
data_TeSBr3
_chemical_formula_sum 'Te2 S2 Br6'
_symmetry_space_group_name_H-M 'P 1'
_symmetry_Int_Tables_number 1
_symmetry_space_group_name_Hall 'P 1'
_cell_length_a 7.8480
_cell_length_b 7.8480
_cell_length_c 6.1393
_cell_angle_alpha 98.65
_cell_angle_beta 98.65
_cell_angle_gamma 69.13
loop_
_atom_site_label
_atom_site_type_symbol
_atom_site_fract_x
_atom_site_fract_y
_atom_site_fract_z
Te1 Te 0.2206 0.2206 0.4277
Te2 Te 0.7794 0.7794 0.5723
S1 S 0.0605 0.0701 0.6234
S2 S 0.9299 0.9395 0.3766
Br1 Br 0.0747 0.6313 0.8163
Br2 Br 0.3687 0.9253 0.1837
Br3 Br 0.3921 0.3837 0.1862
Br4 Br 0.6163 0.6079 0.8138
Br5 Br 0.6301 0.0700 0.8234
Br6 Br 0.9300 0.3699 0.1766
```

Summary:
The calculated volume comes out at 34.74 A^3/atom.

R | Entry from Alexandria via LeMat-Bulk: an optimized crystal structure of TeSBr3 (PBE-GGA).

CIF file:
```
data_TeSBr3
_chemical_formula_sum 'Te4 S4 Br12'
_symmetry_space_group_name_H-M 'P 1'
_symmetry_Int_Tables_number 1
_symmetry_space_group_name_Hall 'P 1'
_cell_length_a 7.8004
_cell_length_b 7.6536
_cell_length_c 15.9239
_cell_angle_alpha 90.00
_cell_angle_beta 93.26
_cell_angle_gamma 90.00
loop_
_atom_site_label
_atom_site_type_symbol
_atom_site_fract_x
_atom_site_fract_y
_atom_site_fract_z
Te1 Te 0.0776 0.1358 0.3770
Te2 Te 0.0776 0.8642 0.8770
Te3 Te 0.9224 0.1358 0.1230
Te4 Te 0.9224 0.8642 0.6230
S1 S 0.0958 0.4204 0.2928
S2 S 0.0958 0.5796 0.7928
S3 S 0.9042 0.4204 0.2072
S4 S 0.9042 0.5796 0.7072
Br1 Br 0.1084 0.2448 0.0025
Br2 Br 0.1084 0.7552 0.5025
Br3 Br 0.2268 0.0329 0.2183
Br4 Br 0.2268 0.9671 0.7183
Br5 Br 0.3661 0.2493 0.4435
Br6 Br 0.3661 0.7507 0.9435
Br7 Br 0.6339 0.2493 0.0565
Br8 Br 0.6339 0.7507 0.5565
Br9 Br 0.7732 0.0329 0.2817
Br10 Br 0.7732 0.9671 0.7817
Br11 Br 0.8916 0.2448 0.4975
Br12 Br 0.8916 0.7552 0.9975
```

Summary:
The calculated volume comes out at 47.46 A^3/atom.

S | Entry from Alexandria via LeMat-Bulk: an optimized crystal structure of TeSBr3 (PBE-GGA).

CIF file:
```
data_TeSBr3
_chemical_formula_sum 'Te1 S1 Br3'
_symmetry_space_group_name_H-M 'P 1'
_symmetry_Int_Tables_number 1
_symmetry_space_group_name_Hall 'P 1'
_cell_length_a 5.2867
_cell_length_b 5.2867
_cell_length_c 5.2867
_cell_angle_alpha 90.00
_cell_angle_beta 90.00
_cell_angle_gamma 90.00
loop_
_atom_site_label
_atom_site_type_symbol
_atom_site_fract_x
_atom_site_fract_y
_atom_site_fract_z
Te1 Te 0.0000 0.0000 0.0000
S1 S 0.5000 0.5000 0.5000
Br1 Br 0.0000 0.5000 0.5000
Br2 Br 0.5000 0.0000 0.5000
Br3 Br 0.5000 0.5000 0.0000
```

Summary:
The calculated volume comes out at 29.55 A^3/atom.

In meV/atom, relative to the most stable structure: P 659; Q 130; R 0; S 703.

P | Entry from Alexandria via LeMat-Bulk: an optimized crystal structure of TiSBr3 (PBE-GGA).

CIF file:
```
data_TiSBr3
_chemical_formula_sum 'Ti1 S1 Br3'
_symmetry_space_group_name_H-M 'P 1'
_symmetry_Int_Tables_number 1
_symmetry_space_group_name_Hall 'P 1'
_cell_length_a 5.1066
_cell_length_b 5.1066
_cell_length_c 5.1066
_cell_angle_alpha 90.00
_cell_angle_beta 90.00
_cell_angle_gamma 90.00
loop_
_atom_site_label
_atom_site_type_symbol
_atom_site_fract_x
_atom_site_fract_y
_atom_site_fract_z
Ti1 Ti 0.0000 0.0000 0.0000
S1 S 0.5000 0.5000 0.5000
Br1 Br 0.0000 0.0000 0.5000
Br2 Br 0.0000 0.5000 0.0000
Br3 Br 0.5000 0.0000 0.0000
```

Summary:
The calculated volume comes out at 26.63 A^3/atom.

Q | Entry from Alexandria via LeMat-Bulk: an optimized crystal structure of TiSBr3 (PBE-GGA).

CIF file:
```
data_TiSBr3
_chemical_formula_sum 'Ti1 S1 Br3'
_symmetry_space_group_name_H-M 'P 1'
_symmetry_Int_Tables_number 1
_symmetry_space_group_name_Hall 'P 1'
_cell_length_a 5.2002
_cell_length_b 5.2002
_cell_length_c 5.2002
_cell_angle_alpha 90.00
_cell_angle_beta 90.00
_cell_angle_gamma 90.00
loop_
_atom_site_label
_atom_site_type_symbol
_atom_site_fract_x
_atom_site_fract_y
_atom_site_fract_z
Ti1 Ti 0.0000 0.0000 0.0000
S1 S 0.5000 0.5000 0.5000
Br1 Br 0.0000 0.5000 0.5000
Br2 Br 0.5000 0.0000 0.5000
Br3 Br 0.5000 0.5000 0.0000
```

Summary:
The calculated volume comes out at 28.13 A^3/atom.

In meV/atom, relative to the most stable structure: P 0; Q 820.

P | Entry from Alexandria via LeMat-Bulk: an optimized crystal structure of TiSBr2 (PBE-GGA).

CIF file:
```
data_TiSBr2
_chemical_formula_sum 'Ti2 S2 Br4'
_symmetry_space_group_name_H-M 'P 1'
_symmetry_Int_Tables_number 1
_symmetry_space_group_name_Hall 'P 1'
_cell_length_a 12.6914
_cell_length_b 3.2722
_cell_length_c 7.1583
_cell_angle_alpha 90.00
_cell_angle_beta 117.80
_cell_angle_gamma 90.00
loop_
_atom_site_label
_atom_site_type_symbol
_atom_site_fract_x
_atom_site_fract_y
_atom_site_fract_z
Ti1 Ti 0.0000 0.0000 0.0000
Ti2 Ti 0.5000 0.5000 0.0000
S1 S 0.3703 0.0000 0.0008
S2 S 0.8703 0.5000 0.0008
Br1 Br 0.0149 0.5000 0.7277
Br2 Br 0.1585 0.5000 0.2715
Br3 Br 0.5149 0.0000 0.7277
Br4 Br 0.6585 0.0000 0.2715
```

Summary:
The calculated volume comes out at 32.87 A^3/atom.

Q | Entry from Alexandria via LeMat-Bulk: an optimized crystal structure of TiSBr2 (PBE-GGA).

CIF file:
```
data_TiSBr2
_chemical_formula_sum 'Ti3 S3 Br6'
_symmetry_space_group_name_H-M 'P 1'
_symmetry_Int_Tables_number 1
_symmetry_space_group_name_Hall 'P 1'
_cell_length_a 3.3224
_cell_length_b 3.3224
_cell_length_c 30.8645
_cell_angle_alpha 90.00
_cell_angle_beta 90.00
_cell_angle_gamma 120.00
loop_
_atom_site_label
_atom_site_type_symbol
_atom_site_fract_x
_atom_site_fract_y
_atom_site_fract_z
Ti1 Ti 0.0000 0.0000 0.0000
Ti2 Ti 0.3333 0.6667 0.6667
Ti3 Ti 0.6667 0.3333 0.3333
S1 S 0.0000 0.0000 0.5000
S2 S 0.3333 0.6667 0.1667
S3 S 0.6667 0.3333 0.8333
Br1 Br 0.0000 0.0000 0.3896
Br2 Br 0.0000 0.0000 0.6104
Br3 Br 0.3333 0.6667 0.0563
Br4 Br 0.3333 0.6667 0.2770
Br5 Br 0.6667 0.3333 0.7230
Br6 Br 0.6667 0.3333 0.9437
```

Summary:
The calculated volume comes out at 24.59 A^3/atom.

R | Entry from Alexandria via LeMat-Bulk: an optimized crystal structure of TiSBr2 (PBE-GGA).

CIF file:
```
data_TiSBr2
_chemical_formula_sum 'Ti4 S4 Br8'
_symmetry_space_group_name_H-M 'P 1'
_symmetry_Int_Tables_number 1
_symmetry_space_group_name_Hall 'P 1'
_cell_length_a 6.7714
_cell_length_b 6.7714
_cell_length_c 6.7714
_cell_angle_alpha 90.00
_cell_angle_beta 90.00
_cell_angle_gamma 90.00
loop_
_atom_site_label
_atom_site_type_symbol
_atom_site_fract_x
_atom_site_fract_y
_atom_site_fract_z
Ti1 Ti 0.0000 0.0000 0.0000
Ti2 Ti 0.0000 0.5000 0.5000
Ti3 Ti 0.5000 0.0000 0.5000
Ti4 Ti 0.5000 0.5000 0.0000
S1 S 0.0000 0.0000 0.5000
S2 S 0.0000 0.5000 0.0000
S3 S 0.5000 0.0000 0.0000
S4 S 0.5000 0.5000 0.5000
Br1 Br 0.2500 0.2500 0.2500
Br2 Br 0.2500 0.2500 0.7500
Br3 Br 0.2500 0.7500 0.2500
Br4 Br 0.2500 0.7500 0.7500
Br5 Br 0.7500 0.2500 0.2500
Br6 Br 0.7500 0.2500 0.7500
Br7 Br 0.7500 0.7500 0.2500
Br8 Br 0.7500 0.7500 0.7500
```

Summary:
The calculated volume comes out at 19.41 A^3/atom.

S | Entry from Alexandria via LeMat-Bulk: an optimized crystal structure of TiSBr2 (PBE-GGA).

CIF file:
```
data_TiSBr2
_chemical_formula_sum 'Ti4 S4 Br8'
_symmetry_space_group_name_H-M 'P 1'
_symmetry_Int_Tables_number 1
_symmetry_space_group_name_Hall 'P 1'
_cell_length_a 9.7076
_cell_length_b 9.7076
_cell_length_c 4.5717
_cell_angle_alpha 90.00
_cell_angle_beta 90.00
_cell_angle_gamma 90.00
loop_
_atom_site_label
_atom_site_type_symbol
_atom_site_fract_x
_atom_site_fract_y
_atom_site_fract_z
Ti1 Ti 0.0000 0.0000 0.0000
Ti2 Ti 0.0000 0.5000 0.2500
Ti3 Ti 0.5000 0.0000 0.7500
Ti4 Ti 0.5000 0.5000 0.5000
S1 S 0.0000 0.0000 0.5000
S2 S 0.0000 0.5000 0.7500
S3 S 0.5000 0.0000 0.2500
S4 S 0.5000 0.5000 0.0000
Br1 Br 0.0972 0.2500 0.1250
Br2 Br 0.2500 0.5972 0.3750
Br3 Br 0.2500 0.9028 0.8750
Br4 Br 0.4028 0.2500 0.6250
Br5 Br 0.5972 0.7500 0.6250
Br6 Br 0.7500 0.0972 0.8750
Br7 Br 0.7500 0.4028 0.3750
Br8 Br 0.9028 0.7500 0.1250
```

Summary:
The calculated volume comes out at 26.93 A^3/atom.

In meV/atom, relative to the most stable structure: P 0; Q 813; R 1168; S 246.

P | Entry from Alexandria via LeMat-Bulk: an optimized crystal structure of TlS2Br (PBE-GGA).

CIF file:
```
data_TlS2Br
_chemical_formula_sum 'Tl3 S6 Br3'
_symmetry_space_group_name_H-M 'P 1'
_symmetry_Int_Tables_number 1
_symmetry_space_group_name_Hall 'P 1'
_cell_length_a 4.1366
_cell_length_b 4.1366
_cell_length_c 23.1074
_cell_angle_alpha 90.00
_cell_angle_beta 90.00
_cell_angle_gamma 120.00
loop_
_atom_site_label
_atom_site_type_symbol
_atom_site_fract_x
_atom_site_fract_y
_atom_site_fract_z
Tl1 Tl 0.0000 0.0000 0.0000
Tl2 Tl 0.3333 0.6667 0.6667
Tl3 Tl 0.6667 0.3333 0.3333
S1 S 0.0000 0.0000 0.3937
S2 S 0.0000 0.0000 0.6063
S3 S 0.3333 0.6667 0.0604
S4 S 0.3333 0.6667 0.2730
S5 S 0.6667 0.3333 0.7270
S6 S 0.6667 0.3333 0.9396
Br1 Br 0.0000 0.0000 0.5000
Br2 Br 0.3333 0.6667 0.1667
Br3 Br 0.6667 0.3333 0.8333
```

Summary:
The calculated volume comes out at 28.54 A^3/atom.

Q | Entry from Alexandria via LeMat-Bulk: an optimized crystal structure of TlS2Br (PBE-GGA).

CIF file:
```
data_TlS2Br
_chemical_formula_sum 'Tl4 S8 Br4'
_symmetry_space_group_name_H-M 'P 1'
_symmetry_Int_Tables_number 1
_symmetry_space_group_name_Hall 'P 1'
_cell_length_a 7.0440
_cell_length_b 7.0440
_cell_length_c 7.0440
_cell_angle_alpha 90.00
_cell_angle_beta 90.00
_cell_angle_gamma 90.00
loop_
_atom_site_label
_atom_site_type_symbol
_atom_site_fract_x
_atom_site_fract_y
_atom_site_fract_z
Tl1 Tl 0.0000 0.0000 0.0000
Tl2 Tl 0.0000 0.5000 0.5000
Tl3 Tl 0.5000 0.0000 0.5000
Tl4 Tl 0.5000 0.5000 0.0000
S1 S 0.2500 0.2500 0.2500
S2 S 0.2500 0.2500 0.7500
S3 S 0.2500 0.7500 0.2500
S4 S 0.2500 0.7500 0.7500
S5 S 0.7500 0.2500 0.2500
S6 S 0.7500 0.2500 0.7500
S7 S 0.7500 0.7500 0.2500
S8 S 0.7500 0.7500 0.7500
Br1 Br 0.0000 0.0000 0.5000
Br2 Br 0.0000 0.5000 0.0000
Br3 Br 0.5000 0.0000 0.0000
Br4 Br 0.5000 0.5000 0.5000
```

Summary:
The calculated volume comes out at 21.84 A^3/atom.

In meV/atom, relative to the most stable structure: P 0; Q 582.